No. 1
Crystalline Li3Mg4Tl2 at its relaxed geometry. Source: the Alexandria database, functional PBE.

Unit cell a=4.7879 b=4.9719 c=9.0837 alpha=87.24 beta=90.09 gamma=61.08
Element x y z (fractional)
Mg 0.3337 0.3342 0.1122
Mg 0.0012 0.9969 0.6658
Mg 0.9988 0.0031 0.3342
Mg 0.6663 0.6659 0.8878
Li 0.6694 0.6616 0.5450
Li 0.0000 0.0000 0.0000
Li 0.3306 0.3384 0.4550
Tl 0.3342 0.3301 0.7767
Tl 0.6658 0.6699 0.2233

- formation enthalpy at 0 K (meV per atom) = -125
- theoretical density (g/cm³) = 4.6
- SG = No. 2


No. 2
Crystalline LiTbTlSn at its relaxed geometry. Source: the Alexandria database, functional PBE.

Unit cell a=4.4111 b=4.5739 c=4.7888 alpha=90.00 beta=90.00 gamma=90.00
Element x y z (fractional)
Tl 0.0000 0.5000 0.5000
Tb 0.5000 0.5000 0.0000
Li 0.5000 0.0000 0.5000
Sn 0.0000 0.0000 0.0000

- formation enthalpy at 0 K (meV per atom) = -443
- theoretical density (g/cm³) = 8.4
- excess energy over the best structure of this formula in the dataset (meV per atom) = 0
- SG = No. 47